Entry 1:
{
  "formula": "Cs2ZnSiO4",
  "functional": "PBE",
  "state": "optimized geometry",
  "e_form_raw_ev_per_fu": -16.107,
  "spacegroup": "No. 70",
  "dos_ef_per_ev_fu": 0.0,
  "lattice_angstrom": [[-0.943, -0.746, 4.936], [-0.624, -6.493, 1.514], [10.298, -0.949, 4.440]],
  "species": ["Cs", "Cs", "Cs", "Cs", "O", "O", "O", "O", "O", "O", "O", "O", "Zn", "Zn", "Si", "Si"],
  "frac_coords": [[0.827, 0.000, 0.346], [0.173, 0.000, 0.654], [0.577, 0.500, 0.846], [0.923, 0.500, 0.154], [0.822, 0.847, 0.917], [0.928, 0.653, 0.583], [0.586, 0.153, 0.083], [0.489, 0.347, 0.583], [0.419, 0.653, 0.417], [0.261, 0.153, 0.917], [0.164, 0.347, 0.417], [0.331, 0.847, 0.083], [0.750, 0.500, 0.500], [0.000, 0.000, 0.000], [0.500, 0.000, 0.000], [0.250, 0.500, 0.500]]
}

---

Entry 2:
{
  "formula": "Pm3Dy2Y6",
  "functional": "PBE",
  "state": "optimized geometry",
  "ef_ev_per_atom": 0.02,
  "spacegroup": "No. 166",
  "dos_ef_per_ev_fu": 14.9,
  "lattice_angstrom": [[3.591, 0.000, 0.000], [1.795, 3.110, 0.000], [1.795, 1.037, 32.076]],
  "species": ["Y", "Y", "Y", "Y", "Y", "Y", "Pm", "Pm", "Pm", "Dy", "Dy"],
  "frac_coords": [[0.818, 0.818, 0.545], [0.908, 0.908, 0.275], [0.092, 0.092, 0.725], [0.364, 0.364, 0.909], [0.636, 0.636, 0.091], [0.182, 0.182, 0.455], [0.272, 0.272, 0.183], [0.000, 0.000, 0.000], [0.728, 0.728, 0.817], [0.455, 0.455, 0.635], [0.545, 0.545, 0.365]]
}

---

Entry 3:
{
  "formula": "Zr2BeHRu",
  "functional": "PBE",
  "state": "optimized geometry",
  "spacegroup": "No. 123",
  "dos_ef_per_ev_fu": 3.1,
  "lattice_angstrom": [[4.522, 0.000, 0.000], [0.000, 4.522, 0.000], [0.000, 0.000, 3.388]],
  "species": ["Zr", "Zr", "Ru", "Be", "H"],
  "frac_coords": [[0.000, 0.500, 0.000], [0.500, 0.000, 0.000], [0.500, 0.500, 0.500], [0.000, 0.000, 0.500], [0.000, 0.000, 0.000]]
}

---

Entry 4:
{
  "formula": "ZnIrRu2",
  "functional": "PBE",
  "state": "optimized geometry",
  "ef_ev_per_atom": 0.07,
  "spacegroup": "No. 47",
  "dos_ef_per_ev_fu": 4.2,
  "lattice_angstrom": [[-1.059, 3.634, -0.780], [-1.517, -0.894, -2.104], [-5.689, -1.414, 1.135]],
  "species": ["Ru", "Ru", "Ir", "Zn"],
  "frac_coords": [[0.000, 0.502, 0.497], [0.000, 0.998, 0.003], [0.500, 0.750, 0.750], [0.500, 0.250, 0.250]]
}

---

Entry 5:
{
  "formula": "ZnCuRe2",
  "functional": "PBE",
  "state": "optimized geometry",
  "ef_ev_per_atom": 0.27,
  "spacegroup": "No. 216",
  "polymorph_energy_kj_per_mol_fu": 79.6,
  "dos_ef_per_ev_fu": 2.8,
  "lattice_angstrom": [[-2.763, 2.980, -1.434], [-1.148, 0.054, -4.154], [-3.995, -1.140, -1.147]],
  "species": ["Zn", "Re", "Re", "Cu"],
  "frac_coords": [[0.750, 0.750, 0.750], [0.000, 0.000, 0.000], [0.250, 0.250, 0.250], [0.500, 0.500, 0.500]]
}

---

Entry 6:
{
  "formula": "Pa2NiIr",
  "functional": "PBE",
  "state": "optimized geometry",
  "ef_ev_per_atom": -0.39,
  "spacegroup": "No. 123",
  "dos_ef_per_ev_fu": 6.7,
  "lattice_angstrom": [[-3.283, 0.864, 0.560], [-0.470, -2.921, 1.755], [1.766, 3.081, 5.602]],
  "species": ["Pa", "Pa", "Ni", "Ir"],
  "frac_coords": [[0.000, 0.000, 0.238], [0.000, 0.000, 0.762], [0.500, 0.500, 0.000], [0.500, 0.500, 0.500]]
}

---

Entry 7:
{
  "formula": "ZnBOs2",
  "functional": "PBE",
  "state": "optimized geometry",
  "ef_ev_per_atom": 0.63,
  "spacegroup": "No. 225",
  "polymorph_energy_kj_per_mol_fu": 192.0,
  "dos_ef_per_ev_fu": 3.2,
  "lattice_angstrom": [[0.000, 2.889, 2.889], [2.889, 0.000, 2.889], [2.889, 2.889, 0.000]],
  "species": ["Os", "Os", "B", "Zn"],
  "frac_coords": [[0.750, 0.750, 0.750], [0.250, 0.250, 0.250], [0.000, 0.000, 0.000], [0.500, 0.500, 0.500]]
}

---

Entry 8:
{
  "formula": "CrIn2Mo",
  "functional": "PBE",
  "state": "optimized geometry",
  "ef_ev_per_atom": 0.44,
  "spacegroup": "No. 139",
  "polymorph_energy_kj_per_mol_fu": 79.6,
  "dos_ef_per_ev_fu": 3.2,
  "lattice_angstrom": [[5.154, 0.002, 0.000], [1.813, 4.825, 0.000], [-3.484, -2.414, 2.934]],
  "species": ["Mo", "Cr", "In", "In"],
  "frac_coords": [[0.250, 0.750, 0.500], [0.750, 0.250, 0.500], [0.500, 0.500, 0.000], [0.000, 0.000, 0.000]]
}

---

Entry 9:
{
  "formula": "Tb4Nd3Mg",
  "functional": "PBE",
  "state": "optimized geometry",
  "ef_ev_per_atom": 0.01,
  "spacegroup": "No. 31",
  "polymorph_energy_kj_per_mol_fu": 0.0,
  "dos_ef_per_ev_fu": 11.9,
  "lattice_angstrom": [[-0.246, -1.914, -5.994], [4.823, -5.150, 1.447], [-8.468, -7.188, 2.642]],
  "species": ["Nd", "Nd", "Nd", "Nd", "Nd", "Nd", "Mg", "Mg", "Tb", "Tb", "Tb", "Tb", "Tb", "Tb", "Tb", "Tb"],
  "frac_coords": [[0.840, 0.619, 0.000], [0.528, 0.121, 0.745], [0.028, 0.879, 0.755], [0.528, 0.121, 0.255], [0.340, 0.381, 0.500], [0.028, 0.879, 0.245], [0.858, 0.125, 0.000], [0.358, 0.875, 0.500], [0.359, 0.374, 0.000], [0.367, 0.871, 0.000], [0.859, 0.626, 0.500], [0.518, 0.627, 0.255], [0.867, 0.129, 0.500], [0.018, 0.373, 0.755], [0.518, 0.627, 0.745], [0.018, 0.373, 0.245]]
}

---

Entry 10:
{
  "formula": "InSiSe2N",
  "functional": "PBE",
  "state": "optimized geometry",
  "e_form_raw_ev_per_fu": 0.378,
  "spacegroup": "No. 123",
  "polymorph_energy_kj_per_mol_fu": 0.0,
  "dos_ef_per_ev_fu": 2.5,
  "lattice_angstrom": [[-2.344, 0.182, -4.751], [4.735, -0.400, -2.351], [-0.275, -3.305, 0.009]],
  "species": ["Si", "Se", "Se", "N", "In"],
  "frac_coords": [[0.000, 0.000, 0.000], [0.500, 0.000, 0.000], [0.000, 0.500, 0.000], [0.000, 0.000, 0.500], [0.500, 0.500, 0.500]]
}

---

Entry 11:
{
  "formula": "SbHPdPt2",
  "functional": "PBE",
  "state": "optimized geometry",
  "spacegroup": "No. 123",
  "dos_ef_per_ev_fu": 3.4,
  "lattice_angstrom": [[4.054, 0.000, 0.000], [0.000, 4.054, 0.000], [0.000, 0.000, 4.364]],
  "species": ["H", "Pt", "Pt", "Pd", "Sb"],
  "frac_coords": [[0.000, 0.000, 0.000], [0.500, 0.000, 0.000], [0.000, 0.500, 0.000], [0.000, 0.000, 0.500], [0.500, 0.500, 0.500]]
}

---

Entry 12:
{
  "formula": "Pm2ThH",
  "functional": "PBE",
  "state": "optimized geometry",
  "spacegroup": "No. 123",
  "polymorph_energy_kj_per_mol_fu": 101.5,
  "dos_ef_per_ev_fu": 3.5,
  "lattice_angstrom": [[-2.507, 0.414, 2.280], [2.128, -0.919, 2.507], [2.307, 8.205, 1.049]],
  "species": ["Pm", "Pm", "Th", "H"],
  "frac_coords": [[0.000, 0.000, 0.193], [0.000, 0.000, 0.807], [0.500, 0.500, 0.500], [0.500, 0.500, 0.000]]
}

---

These records have VASP energy values of -5.54, -5.64, -6.96, -7.11, -7.30, -8.80, -6.98, -6.04, -4.29, -4.62, -5.04, -4.96 eV per atom, in the order they appear.